Density functional theory data (PBE with a Hubbard U) for a geometry-optimized VCuAgF6 structure.

## Properties
DFT total energy   -86.424 eV/cell
V   246 Å³/cell
Space group   No. 102

```
VCuAgF6
1.0
4.9735 0.0000 0.0000
0.0000 4.9735 0.0000
0.0000 0.0000 9.9493
V Cu Ag F
2 2 2 12
Direct
0.0000 0.0000 0.0000
0.5000 0.5000 0.5000
0.0000 0.0000 0.6595
0.5000 0.5000 0.1595
0.0000 0.0000 0.3346
0.5000 0.5000 0.8346
0.1749 0.1749 0.8442
0.2108 0.2108 0.1405
0.2249 0.2249 0.5201
0.2751 0.7249 0.0201
0.2892 0.7108 0.6405
0.3251 0.6749 0.3442
0.6749 0.3251 0.3442
0.7108 0.2892 0.6405
0.7249 0.2751 0.0201
0.7751 0.7751 0.5201
0.7892 0.7892 0.1405
0.8251 0.8251 0.8442
```